[1]
# PBE ZnCd2Ag, optimized geometry
data_ZnCd2Ag
_chemical_formula_sum 'Zn2 Cd4 Ag2'
_space_group_name_H-M_alt 'I -4 m 2'
_space_group_IT_number 119
_space_group_name_Hall 'I -4 -2'
_cell_length_a 4.272
_cell_length_b 4.272
_cell_length_c 8.369
_cell_angle_alpha 90.00
_cell_angle_beta 90.00
_cell_angle_gamma 90.00
loop_
_atom_site_label
_atom_site_fract_x
_atom_site_fract_y
_atom_site_fract_z
_atom_site_occupancy
Zn1 0.000 0.000 0.000 1
Cd1 0.000 0.000 0.500 1
Cd2 0.000 0.500 0.250 1
Ag1 0.000 0.500 0.750 1
# Volume, A^3/atom: 19.10
# Calculated density, g/cm3: 8.65
# Magnetization, μB per atom: 0.000
# Total DFT energy (no corrections), eV per atom: -1.460


[2]
# PBE ZrGaAu, optimized geometry
data_ZrGaAu
_chemical_formula_sum 'Zr4 Ga4 Au4'
_space_group_name_H-M_alt 'C 1 2/m 1'
_space_group_IT_number 12
_cell_length_a 11.199
_cell_length_b 4.140
_cell_length_c 4.995
_cell_angle_alpha 90.00
_cell_angle_beta 101.00
_cell_angle_gamma 90.00
loop_
_space_group_symop_operation_xyz
'x,y,z'
'-x,-y,-z'
'-x,y,-z'
'x,-y,z'
'x+1/2,y+1/2,z'
'-x+1/2,-y+1/2,-z'
'-x+1/2,y+1/2,-z'
'x+1/2,-y+1/2,z'
loop_
_atom_site_label
_atom_site_fract_x
_atom_site_fract_y
_atom_site_fract_z
_atom_site_occupancy
Zr1 0.108 0.000 0.296 1
Ga1 0.226 0.000 0.823 1
Au1 0.072 0.500 0.777 1
# Volume, A^3/atom: 18.94
# Calculated density, g/cm3: 10.46
# Magnetization, μB per atom: 0.000
# Total DFT energy (no corrections), eV per atom: -5.401


[3]
# PBE InCo2Hg, optimized geometry
data_InCo2Hg
_chemical_formula_sum 'In1 Co2 Hg1'
_space_group_name_H-M_alt 'P 1 m 1'
_space_group_IT_number 6
_cell_length_a 3.184
_cell_length_b 4.106
_cell_length_c 5.305
_cell_angle_alpha 90.00
_cell_angle_beta 107.20
_cell_angle_gamma 90.00
loop_
_space_group_symop_operation_xyz
'x,y,z'
'x,-y,z'
loop_
_atom_site_label
_atom_site_fract_x
_atom_site_fract_y
_atom_site_fract_z
_atom_site_occupancy
In1 0.000 0.000 0.000 1
Co1 0.602 0.500 0.207 1
Co2 0.715 0.000 0.436 1
Hg1 0.320 0.500 0.648 1
# ΔE to the lowest computed polymorph, meV/atom: 88.4
# Volume, A^3/atom: 16.56
# Calculated density, g/cm3: 10.86
# Magnetization, μB per atom: 0.692
# Total DFT energy (no corrections), eV per atom: -3.964


[4]
# PBE TcTe2Se, optimized geometry
data_TcTe2Se
_chemical_formula_sum 'Tc2 Te4 Se2'
_space_group_name_H-M_alt 'C m m m'
_space_group_IT_number 65
_space_group_name_Hall '-C 2 2'
_cell_length_a 4.930
_cell_length_b 10.134
_cell_length_c 4.133
_cell_angle_alpha 90.00
_cell_angle_beta 90.00
_cell_angle_gamma 90.00
loop_
_atom_site_label
_atom_site_fract_x
_atom_site_fract_y
_atom_site_fract_z
_atom_site_occupancy
Tc1 0.000 0.000 0.000 1
Te1 0.000 0.172 0.500 1
Se1 0.000 0.500 0.000 1
# Energy relative to the elements, uncorrected, eV/atom: -0.004
# Volume, A^3/atom: 25.81
# Calculated density, g/cm3: 6.95
# Magnetization, μB per atom: 0.000
# Total DFT energy (no corrections), eV per atom: -5.037


Which of these has the highest total DFT energy (no corrections)?
ZnCd2Ag


Number 1 is which compound?
ZnCd2Ag